A plane-wave DFT calculation with PBE was carried out for a geometry-optimized NpSeO5F structure.

Structure (CIF):
```
data_NpSeO5F
_symmetry_space_group_name_H-M 'P 1'
_symmetry_Int_Tables_number 1
_cell_length_a 6.554
_cell_length_b 6.554
_cell_length_c 7.243
_cell_angle_alpha 100.70
_cell_angle_beta 100.70
_cell_angle_gamma 91.11
loop_
_symmetry_equiv_pos_as_xyz
'x,y,z'
loop_
_atom_site_label
_atom_site_type_symbol
_atom_site_fract_x
_atom_site_fract_y
_atom_site_fract_z
Np1 Np 0.000 0.000 0.500
Np2 Np 0.000 0.000 0.000
Se1 Se 0.553 0.447 0.250
Se2 Se 0.447 0.553 0.750
O1 O 0.894 0.106 0.250
O2 O 0.106 0.894 0.750
O3 O 0.681 0.375 0.075
O4 O 0.319 0.625 0.925
O5 O 0.625 0.319 0.425
O6 O 0.375 0.681 0.575
O7 O 0.802 0.792 0.429
O8 O 0.198 0.208 0.571
O9 O 0.208 0.198 0.071
O10 O 0.792 0.802 0.929
F1 F 0.155 0.845 0.250
F2 F 0.845 0.155 0.750
```

Properties
Volume in Å³/cell: 299.9
Space-group type: C2/c, No. 15
VASP energy in eV/atom: -7.138
Total magnetic moment in μB/cell: 0.0



A plane-wave DFT calculation with PBE was carried out for a geometry-optimized AgBPt2 structure.

Structure (CIF):
```
data_AgBPt2
_symmetry_space_group_name_H-M 'P 1'
_symmetry_Int_Tables_number 1
_cell_length_a 3.106
_cell_length_b 3.106
_cell_length_c 7.251
_cell_angle_alpha 77.63
_cell_angle_beta 77.63
_cell_angle_gamma 60.00
loop_
_symmetry_equiv_pos_as_xyz
'x,y,z'
loop_
_atom_site_label
_atom_site_type_symbol
_atom_site_fract_x
_atom_site_fract_y
_atom_site_fract_z
B1 B 0.000 0.000 0.000
Ag1 Ag 0.500 0.500 0.500
Pt1 Pt 0.724 0.724 0.827
Pt2 Pt 0.276 0.276 0.173
```

Properties
Volume in Å³/cell: 58.7
Space-group type: R-3m, No. 166
VASP energy in eV/atom: -5.519
Total magnetic moment in μB/cell: 0.0



A plane-wave DFT calculation with PBE was carried out for a geometry-optimized Nd3ErSb4 structure.

Structure (CIF):
```
data_Nd3ErSb4
_symmetry_space_group_name_H-M 'P 1'
_symmetry_Int_Tables_number 1
_cell_length_a 6.339
_cell_length_b 6.339
_cell_length_c 6.339
_cell_angle_alpha 90.00
_cell_angle_beta 90.00
_cell_angle_gamma 90.00
loop_
_symmetry_equiv_pos_as_xyz
'x,y,z'
loop_
_atom_site_label
_atom_site_type_symbol
_atom_site_fract_x
_atom_site_fract_y
_atom_site_fract_z
Sb1 Sb 0.500 0.000 0.000
Sb2 Sb 0.000 0.500 0.000
Sb3 Sb 0.000 0.000 0.500
Sb4 Sb 0.500 0.500 0.500
Nd1 Nd 0.000 0.500 0.500
Nd2 Nd 0.500 0.000 0.500
Nd3 Nd 0.500 0.500 0.000
Er1 Er 0.000 0.000 0.000
```

Properties
Volume in Å³/cell: 254.7
Space-group type: Pm-3m, No. 221
Polymorph energy (0 for the lowest one) in eV per atom: 0.002
Total magnetic moment in μB/cell: 0.0



A plane-wave DFT calculation with PBE was carried out for a geometry-optimized La2YN structure.

Structure (CIF):
```
data_La2YN
_symmetry_space_group_name_H-M 'P 1'
_symmetry_Int_Tables_number 1
_cell_length_a 3.617
_cell_length_b 3.617
_cell_length_c 10.108
_cell_angle_alpha 79.69
_cell_angle_beta 79.69
_cell_angle_gamma 60.00
loop_
_symmetry_equiv_pos_as_xyz
'x,y,z'
loop_
_atom_site_label
_atom_site_type_symbol
_atom_site_fract_x
_atom_site_fract_y
_atom_site_fract_z
Y1 Y 0.000 0.000 0.000
N1 N 0.500 0.500 0.500
La1 La 0.119 0.119 0.644
La2 La 0.881 0.881 0.356
```

Properties
Volume in Å³/cell: 112.0
Space-group type: R-3m, No. 166
VASP energy in eV/atom: -6.719
Total magnetic moment in μB/cell: 0.0



A plane-wave DFT calculation with PBE was carried out for a geometry-optimized Ce2IrF structure.

Structure (CIF):
```
data_Ce2IrF
_symmetry_space_group_name_H-M 'P 1'
_symmetry_Int_Tables_number 1
_cell_length_a 4.200
_cell_length_b 4.200
_cell_length_c 7.926
_cell_angle_alpha 74.63
_cell_angle_beta 74.63
_cell_angle_gamma 60.00
loop_
_symmetry_equiv_pos_as_xyz
'x,y,z'
loop_
_atom_site_label
_atom_site_type_symbol
_atom_site_fract_x
_atom_site_fract_y
_atom_site_fract_z
Ir1 Ir 0.500 0.500 0.500
Ce1 Ce 0.102 0.102 0.693
Ce2 Ce 0.898 0.898 0.307
F1 F 0.000 0.000 0.000
```

Properties
Volume in Å³/cell: 115.3
Space-group type: R-3m, No. 166
Polymorph energy (0 for the lowest one) in eV per atom: 0.000
Total magnetic moment in μB/cell: 1.6



A plane-wave DFT calculation with PBE was carried out for a geometry-optimized TlNi2Se structure.

Structure (CIF):
```
data_TlNi2Se
_symmetry_space_group_name_H-M 'P 1'
_symmetry_Int_Tables_number 1
_cell_length_a 4.391
_cell_length_b 4.391
_cell_length_c 3.327
_cell_angle_alpha 89.86
_cell_angle_beta 89.86
_cell_angle_gamma 89.95
loop_
_symmetry_equiv_pos_as_xyz
'x,y,z'
loop_
_atom_site_label
_atom_site_type_symbol
_atom_site_fract_x
_atom_site_fract_y
_atom_site_fract_z
Ni1 Ni 0.000 0.000 0.000
Ni2 Ni 0.500 0.500 0.000
Se1 Se 0.500 0.000 0.500
Tl1 Tl 0.000 0.500 0.500
```

Properties
Volume in Å³/cell: 64.1
Space-group type: C2/m, No. 12
Polymorph energy (0 for the lowest one) in eV per atom: 0.266
Total magnetic moment in μB/cell: 0.0



Which of these has the lowest volume?
AgBPt2



Which of these has the highest volume?
NpSeO5F



The highest volume belongs to which entry?
NpSeO5F